# 1
A crystal of LaSiN2F relaxed with PBEsol, computed with meta-GGA SCAN.

Cell and atoms, written as POSCAR:
```
LaSiN2F
1.0
3.746 0.000 0.000
0.000 3.746 0.000
0.000 0.000 3.836
La Si N F
1 1 2 1
Direct
0.000 0.000 0.000
0.500 0.500 0.500
0.000 0.500 0.500
0.500 0.000 0.500
0.500 0.500 0.000
```

Values from the calculation:
**Fermi-level density of states**: 0.26 states/eV per cell
**Density**: 6.602 g cm⁻³
**Formation energy from raw total energies**: -1.71 eV per atom


# 2
A crystal of LaZnN2F relaxed with PBEsol, computed with meta-GGA SCAN.

Cell and atoms, written as POSCAR:
```
LaZnN2F
1.0
4.421 0.000 0.000
0.000 4.421 0.000
0.000 0.000 4.500
La Zn N F
1 1 2 1
Direct
0.000 0.000 0.000
0.500 0.500 0.500
0.000 0.500 0.000
0.500 0.000 0.000
0.000 0.000 0.500
```

Values from the calculation:
**Fermi-level density of states**: 2.37 states/eV per cell
**Density**: 4.745 g cm⁻³
**Formation energy from raw total energies**: 0.03 eV per atom